[1]
IrRu2Pb | GGA-PBE | optimized geometry

As for the density of states at the Fermi level: 18.3 states/eV/cell. The formation energy is 1.12 eV per atom.

The structure belongs to space group I-42d (No. 122); the cell edges are 5.810, 5.810 and 11.684 Å and the angles 90.00°, 90.00° and 90.00°. The inequivalent atoms are Ir at (0.000, 0.000, 0.000), Ru at (0.202, 0.250, 0.125) and Pb at (0.000, 0.000, 0.500).


[2]
La8Te4PS3 | GGA-PBE | optimized geometry

As for the density of states at the Fermi level: 17.3 states/eV/cell. The formation energy (no corrections) comes out at -1.8323 eV/atom.

The structure belongs to space group R-3m (No. 166, hexagonal axes); the cell edges are 8.6602, 8.6602 and 22.0494 Å and the angles 90.00°, 90.00° and 120.00°. The inequivalent atoms are La at (0.0000, 0.0000, 0.2372), La at (0.0019, 0.5010, 0.2373), Te at (0.0000, 0.0000, 0.0000), Te at (0.0000, 0.5000, 0.0000), P at (0.0000, 0.0000, 0.5000) and S at (0.0000, 0.5000, 0.5000).


[3]
YHo6Sc8 | GGA-PBE | optimized geometry

As for the density of states at the Fermi level: 75.0 states/eV/cell. As for the distance to the lowest polymorph of the same formula: 0.0 meV per atom. The formation energy is 0.15 eV per atom.

The structure belongs to space group R-3 (No. 148, hexagonal axes); the cell edges are 8.5560, 8.5560 and 19.8465 Å and the angles 90.00°, 90.00° and 120.00°. The inequivalent atoms are Y at (0.0000, 0.0000, 0.0000), Ho at (0.0648, 0.2494, 0.7107), Sc at (0.0000, 0.0000, 0.4255) and Sc at (0.0801, 0.5549, 0.8096).


| no. | size of the total moment (μB/f.u.) | uncorrected energy (eV/cell) |
| --- | --- | --- |
| 1 | 0.000 | -106.59 |
| 2 | 0.000 | -297.29 |
| 3 | 0.003 | -247.19 |